No. 1
DFT (PBE) results for crystalline Cs2SrBr2Cl2 at its relaxed geometry.

Unit cell a=5.691 b=5.691 c=10.094 alpha=106.37 beta=106.37 gamma=90.00
Sites, in units of the cell vectors:
Cs: 0.641 0.641 0.281
Cs: 0.359 0.359 0.719
Br: 0.835 0.835 0.670
Br: 0.165 0.165 0.330
Cl: 0.500 0.000 0.000
Cl: 0.000 0.500 0.000
Sr: 0.000 0.000 0.000

- uncorrected formation energy (kJ per mole of atoms) = -202
- electronic total energy (eV per atom) = -3.58

---

No. 2
DFT (PBE) results for crystalline AcNiGe at its relaxed geometry.

Unit cell a=4.677 b=4.677 c=4.677 alpha=60.00 beta=60.00 gamma=60.00
Sites, in units of the cell vectors:
Ni: 0.250 0.250 0.250
Ge: 0.000 0.000 0.000
Ac: 0.500 0.500 0.500

- electronic total energy (eV per atom) = -5.19
- ΔE_f (eV per atom) = -0.35

---

No. 3
DFT (PBE) results for crystalline Ca8Zn2Ir at its relaxed geometry.

Unit cell a=5.316 b=7.067 c=9.731 alpha=106.57 beta=105.85 gamma=90.00
Sites, in units of the cell vectors:
Zn: 0.186 0.723 0.371
Zn: 0.814 0.277 0.629
Ca: 0.411 0.584 0.821
Ca: 0.210 0.308 0.420
Ca: 0.589 0.416 0.179
Ca: 0.348 0.039 0.695
Ca: 0.790 0.692 0.580
Ca: 0.028 0.802 0.056
Ca: 0.972 0.198 0.944
Ca: 0.652 0.961 0.305
Ir: 0.500 0.000 0.000

- electronic total energy (eV per atom) = -2.66
- ΔE_f (eV per atom) = -0.16

---

Question: Look up the electronic total energy of the third one.
Answer: -2.66 eV per atom